# 1
A plane-wave DFT calculation with GGA-PBE was carried out for a geometry-optimized PmPrSm3Th structure.

## Properties
Raw total energy in eV/atom: -5.151
ΔH_f (0 K) in eV/atom: 0.0339
Crystal system: monoclinic
Magnetic moment in μB/f.u.: 0.00

Cell: 8.1334 5.1422 10.3104 Å, 90.00 108.36 90.00°
Space group P2_1/m (No. 11)
One atom of each set of equivalent atoms:
Pm  0.0013  0.2500  0.1297 [2 per cell]
Pr  0.3245  0.7500  0.7050 [2 per cell]
Sm  0.3228  0.2500  0.4567 [2 per cell]
Sm  0.3294  0.2500  0.9557 [2 per cell]
Sm  0.3289  0.7500  0.2089 [2 per cell]
Th  0.9999  0.2500  0.6214 [2 per cell]

# 2
A plane-wave DFT calculation with GGA-PBE was carried out for a geometry-optimized PmPr2SmTh structure.

## Properties
Raw total energy in eV/atom: -5.054
ΔH_f (0 K) in eV/atom: 0.2354
Crystal system: monoclinic
Magnetic moment in μB/f.u.: 0.00

Cell: 6.4422 8.5332 6.6970 Å, 90.00 103.80 90.00°
Space group P2/c (No. 13)
One atom of each set of equivalent atoms:
Pm  0.0000  0.1620  0.2500 [2 per cell]
Pr  0.2852  0.1728  0.8427 [4 per cell]
Sm  0.5000  0.4136  0.2500 [2 per cell]
Th  0.0000  0.5000  0.0000 [2 per cell]